Entry from Alexandria: a relaxed structure of Na2Mn2ZnO6 (PBE with a Hubbard U).

Values from the calculation:
Raw total energy, eV per cell: -65.3
Space group: C2/m

Cell lengths 5.1778, 5.1778, 5.7435 Å; angles 97.92, 97.92, 120.90 degrees
Last column: nearest neighbours and their distance in Å.
Fractional coordinates of all 11 atoms:
Na (0.1612, 0.8388, 0.0000)  6 O 2.37-2.46
Na (0.8388, 0.1612, 0.0000)  6 O 2.37-2.46
Mn (0.3346, 0.6654, 0.5000)  6 O 1.95-1.97
Mn (0.6654, 0.3346, 0.5000)  6 O 1.95-1.97
Zn (0.0000, 0.0000, 0.5000)  6 O 2.07-2.15
O (0.0538, 0.4197, 0.6904)  2 Mn 1.95-1.96, 1 Zn 2.15
O (0.2922, 0.2922, 0.3117)  2 Mn 1.97, 1 Zn 2.07
O (0.4197, 0.0538, 0.6904)  2 Mn 1.95-1.96, 1 Zn 2.15
O (0.5803, 0.9462, 0.3096)  2 Mn 1.95-1.96, 1 Zn 2.15
O (0.7078, 0.7078, 0.6883)  2 Mn 1.97, 1 Zn 2.07
O (0.9462, 0.5803, 0.3096)  2 Mn 1.95-1.96, 1 Zn 2.15

Entry from Alexandria: a relaxed structure of NaMnZnO3 (PBE with a Hubbard U).

Values from the calculation:
Raw total energy, eV per cell: -66.9
Space group: Cmcm

Cell lengths 6.0151, 6.0151, 10.3899 Å; angles 90.00, 90.00, 151.25 degrees
Last column: nearest neighbours and their distance in Å.
Fractional coordinates of all 12 atoms:
Na (0.1890, 0.8110, 0.7500)  2 O 2.30
Na (0.8110, 0.1890, 0.2500)  2 O 2.30
Mn (0.0000, 0.0000, 0.0000)  4 O 1.96
Mn (0.0000, 0.0000, 0.5000)  4 O 1.96
Zn (0.4387, 0.5613, 0.7500)  4 O 1.89-2.07
Zn (0.5613, 0.4387, 0.2500)  4 O 1.89-2.07
O (0.1607, 0.8393, 0.2500)  2 Zn 1.89
O (0.4411, 0.5589, 0.1033)  2 Mn 1.96, 1 Zn 2.07
O (0.4411, 0.5589, 0.3967)  2 Mn 1.96, 1 Zn 2.07
O (0.5589, 0.4411, 0.6033)  2 Mn 1.96, 1 Zn 2.07
O (0.5589, 0.4411, 0.8967)  2 Mn 1.96, 1 Zn 2.07
O (0.8393, 0.1607, 0.7500)  2 Zn 1.89

Entry from Alexandria: a relaxed structure of NaMnZnO2 (PBE with a Hubbard U).

Values from the calculation:
Raw total energy, eV per cell: -21.8
Space group: P4/mmm

Cell lengths 3.8555, 3.8555, 5.5897 Å; angles 90.00, 90.00, 90.00 degrees
Last column: nearest neighbours and their distance in Å.
Fractional coordinates of all 5 atoms:
Na (0.0000, 0.0000, 0.0000)  4 Zn 2.73, 2 Mn 2.79
Mn (0.0000, 0.0000, 0.5000)  4 O 1.93
Zn (0.5000, 0.5000, 0.0000)  4 Na 2.73
O (0.0000, 0.5000, 0.5000)  2 Mn 1.93
O (0.5000, 0.0000, 0.5000)  2 Mn 1.93